LaHoAl3 | PBE | relaxed

The structure in CIF format:
```
data_LaHoAl3
_chemical_formula_sum 'La4 Ho4 Al12'
_symmetry_space_group_name_H-M 'C m c m'
_symmetry_Int_Tables_number 63
_symmetry_space_group_name_Hall '-C 2c 2'
_cell_length_a 4.259
_cell_length_b 26.815
_cell_length_c 4.401
_cell_angle_alpha 90.00
_cell_angle_beta 90.00
_cell_angle_gamma 90.00
loop_
_atom_site_label
_atom_site_type_symbol
_atom_site_fract_x
_atom_site_fract_y
_atom_site_fract_z
_atom_site_occupancy
La1 La 0.000 0.075 0.250 1
Ho1 Ho 0.000 0.207 0.750 1
Al1 Al 0.000 0.323 0.750 1
Al2 Al 0.000 0.378 0.250 1
Al3 Al 0.000 0.475 0.250 1
```

Computed properties:
V, Å³/atom: 25.13
ΔH_f (0 K), meV/atom: -421
ρ, kg/m3: 5086
Energy, eV/atom: -4.57